1.
{
  "formula": "NbV3Os",
  "functional": "PBE",
  "state": "relaxed",
  "ef_ev_per_atom": 1.104,
  "sg": "Pm-3m, No. 221",
  "total_magnetization_mub_per_fu": 2.8,
  "cell": [[4.561, 0.000, 0.000], [0.000, 4.561, 0.000], [0.000, 0.000, 4.561]],
  "species": ["Nb", "V", "V", "V", "Os"],
  "frac_coords": [[0.000, 0.000, 0.000], [0.000, 0.500, 0.500], [0.500, 0.000, 0.500], [0.500, 0.500, 0.000], [0.500, 0.500, 0.500]]
}



2.
{
  "formula": "Nb7V2Os3",
  "functional": "PBE",
  "state": "relaxed",
  "ef_ev_per_atom": 0.231,
  "sg": "Cmmm, No. 65",
  "total_magnetization_mub_per_fu": 0.0,
  "cell": [[2.249, -11.140, 0.000], [2.249, 11.140, 0.000], [0.000, 0.000, 4.372]],
  "species": ["Nb", "Nb", "Nb", "Nb", "Nb", "Nb", "Nb", "V", "V", "Os", "Os", "Os"],
  "frac_coords": [[0.000, 0.000, 0.000], [0.078, 0.922, 0.500], [0.288, 0.712, 0.000], [0.426, 0.574, 0.000], [0.574, 0.426, 0.000], [0.712, 0.288, 0.000], [0.922, 0.078, 0.500], [0.148, 0.852, 0.000], [0.852, 0.148, 0.000], [0.354, 0.646, 0.500], [0.500, 0.500, 0.500], [0.646, 0.354, 0.500]]
}



3.
{
  "formula": "NbVOs2",
  "functional": "PBE",
  "state": "relaxed",
  "ef_ev_per_atom": 0.668,
  "sg": "I-42d, No. 122",
  "total_magnetization_mub_per_fu": 0.0,
  "cell": [[-2.004, 2.004, 8.535], [2.004, -2.004, 8.535], [2.004, 2.004, -8.535]],
  "species": ["Nb", "Nb", "V", "V", "Os", "Os", "Os", "Os"],
  "frac_coords": [[0.000, 0.000, 0.000], [0.750, 0.250, 0.500], [0.250, 0.750, 0.500], [0.500, 0.500, 0.000], [0.173, 0.625, 0.048], [0.375, 0.423, 0.548], [0.577, 0.125, 0.952], [0.875, 0.827, 0.452]]
}



4.
{
  "formula": "Nb2V4Os",
  "functional": "PBE",
  "state": "relaxed",
  "ef_ev_per_atom": 1.064,
  "sg": "I4/mmm, No. 139",
  "total_magnetization_mub_per_fu": 1.0,
  "cell": [[-2.279, 2.279, 6.318], [2.279, -2.279, 6.318], [2.279, 2.279, -6.318]],
  "species": ["Nb", "Nb", "V", "V", "V", "V", "Os"],
  "frac_coords": [[0.123, 0.123, 0.000], [0.877, 0.877, 0.000], [0.000, 0.500, 0.500], [0.310, 0.310, 0.000], [0.500, 0.000, 0.500], [0.690, 0.690, 0.000], [0.500, 0.500, 0.000]]
}



5.
{
  "formula": "Nb2V3Os",
  "functional": "PBE",
  "state": "relaxed",
  "ef_ev_per_atom": -0.265,
  "sg": "R-3m, No. 166",
  "total_magnetization_mub_per_fu": 0.0,
  "cell": [[2.542, 1.468, 4.152], [-2.542, 1.468, 4.152], [0.000, -2.936, 4.152]],
  "species": ["Nb", "Nb", "V", "V", "V", "Os"],
  "frac_coords": [[0.126, 0.126, 0.126], [0.874, 0.874, 0.874], [0.000, 0.500, 0.500], [0.500, 0.000, 0.500], [0.500, 0.500, 0.000], [0.500, 0.500, 0.500]]
}



6.
{
  "formula": "Nb8V2Os",
  "functional": "PBE",
  "state": "relaxed",
  "ef_ev_per_atom": 0.086,
  "sg": "C2/m, No. 12",
  "total_magnetization_mub_per_fu": 0.0,
  "cell": [[7.051, -2.662, 0.000], [7.051, 2.662, 0.000], [-1.347, 0.000, 5.150]],
  "species": ["Nb", "Nb", "Nb", "Nb", "Nb", "Nb", "Nb", "Nb", "V", "V", "Os"],
  "frac_coords": [[0.000, 0.000, 0.242], [0.000, 0.000, 0.758], [0.078, 0.585, 0.402], [0.393, 0.393, 0.941], [0.415, 0.922, 0.598], [0.585, 0.078, 0.402], [0.607, 0.607, 0.059], [0.922, 0.415, 0.598], [0.192, 0.192, 0.068], [0.808, 0.808, 0.932], [0.500, 0.500, 0.500]]
}